# 1
! BeP2 PBE-GGA relaxed; values from VASP
&SYSTEM
  ibrav = 0, nat = 24, ntyp = 2
/
ATOMIC_SPECIES
Be 9.01 Be.upf
P 30.97 P.upf
CELL_PARAMETERS angstrom
5.031 -5.031 0.000
5.031 5.031 0.000
-2.509 0.000 7.528
ATOMIC_POSITIONS crystal
Be 0.103 0.730 0.923
Be 0.269 0.390 0.573
Be 0.270 0.897 0.577
Be 0.390 0.269 0.073
Be 0.610 0.731 0.927
Be 0.730 0.103 0.423
Be 0.731 0.610 0.427
Be 0.897 0.270 0.077
P 0.067 0.442 0.747
P 0.068 0.932 0.750
P 0.102 0.230 0.917
P 0.230 0.102 0.417
P 0.231 0.607 0.421
P 0.393 0.769 0.079
P 0.442 0.067 0.247
P 0.443 0.557 0.250
P 0.557 0.443 0.750
P 0.558 0.933 0.753
P 0.607 0.231 0.921
P 0.769 0.393 0.579
P 0.770 0.898 0.583
P 0.898 0.770 0.083
P 0.932 0.068 0.250
P 0.933 0.558 0.253
! Polymorph energy (0 for the lowest one) ... 0.000 eV per atom
! Formation energy from the elements ... -0.33 eV per atom

=====

# 2
! BeP PBE-GGA relaxed; values from VASP
&SYSTEM
  ibrav = 0, nat = 16, ntyp = 2
/
ATOMIC_SPECIES
Be 9.01 Be.upf
P 30.97 P.upf
CELL_PARAMETERS angstrom
5.388 0.000 0.000
0.000 6.631 0.000
0.000 0.000 6.978
ATOMIC_POSITIONS crystal
Be 0.118 0.095 0.195
Be 0.216 0.380 0.436
Be 0.284 0.620 0.936
Be 0.382 0.905 0.695
Be 0.618 0.405 0.805
Be 0.716 0.120 0.564
Be 0.784 0.880 0.064
Be 0.882 0.595 0.305
P 0.128 0.080 0.531
P 0.156 0.413 0.138
P 0.344 0.587 0.638
P 0.372 0.920 0.031
P 0.628 0.420 0.469
P 0.656 0.087 0.862
P 0.844 0.913 0.362
P 0.872 0.580 0.969
! Polymorph energy (0 for the lowest one) ... 0.162 eV per atom
! Formation energy from the elements ... -0.08 eV per atom

=====

# 3
! BeP PBE-GGA relaxed; values from VASP
&SYSTEM
  ibrav = 0, nat = 8, ntyp = 2
/
ATOMIC_SPECIES
Be 9.01 Be.upf
P 30.97 P.upf
CELL_PARAMETERS angstrom
3.237 0.000 0.000
0.000 8.676 0.000
0.000 0.000 3.345
ATOMIC_POSITIONS crystal
Be 0.000 0.095 0.250
Be 0.000 0.905 0.750
Be 0.500 0.405 0.750
Be 0.500 0.595 0.250
P 0.000 0.361 0.250
P 0.000 0.639 0.750
P 0.500 0.139 0.750
P 0.500 0.861 0.250
! Polymorph energy (0 for the lowest one) ... 0.527 eV per atom
! Formation energy from the elements ... 0.29 eV per atom

=====

# 4
! BeP2 PBE-GGA relaxed; values from VASP
&SYSTEM
  ibrav = 0, nat = 6, ntyp = 2
/
ATOMIC_SPECIES
Be 9.01 Be.upf
P 30.97 P.upf
CELL_PARAMETERS angstrom
3.727 0.000 0.000
-1.864 3.228 0.000
0.000 0.000 6.753
ATOMIC_POSITIONS crystal
Be 0.333 0.667 0.250
Be 0.667 0.333 0.750
P 0.000 0.000 0.000
P 0.000 0.000 0.500
P 0.333 0.667 0.750
P 0.667 0.333 0.250
! Polymorph energy (0 for the lowest one) ... 0.843 eV per atom
! Formation energy from the elements ... 0.52 eV per atom

=====

# 5
! Be3P5 PBE-GGA relaxed; values from VASP
&SYSTEM
  ibrav = 0, nat = 16, ntyp = 2
/
ATOMIC_SPECIES
Be 9.01 Be.upf
P 30.97 P.upf
CELL_PARAMETERS angstrom
6.909 0.000 0.000
-3.455 5.984 0.000
0.000 0.000 5.365
ATOMIC_POSITIONS crystal
Be 0.000 0.487 0.250
Be 0.000 0.513 0.750
Be 0.487 0.000 0.250
Be 0.487 0.487 0.750
Be 0.513 0.000 0.750
Be 0.513 0.513 0.250
P 0.000 0.178 0.250
P 0.000 0.822 0.750
P 0.178 0.000 0.250
P 0.178 0.178 0.750
P 0.333 0.667 0.000
P 0.333 0.667 0.500
P 0.667 0.333 0.000
P 0.667 0.333 0.500
P 0.822 0.000 0.750
P 0.822 0.822 0.250
! Formation energy from the elements ... 0.44 eV per atom

=====

# 6
! BeP2 PBE-GGA relaxed; values from VASP
&SYSTEM
  ibrav = 0, nat = 3, ntyp = 2
/
ATOMIC_SPECIES
Be 9.01 Be.upf
P 30.97 P.upf
CELL_PARAMETERS angstrom
4.213 0.000 0.000
-2.106 3.648 0.000
0.000 0.000 2.450
ATOMIC_POSITIONS crystal
Be 0.000 0.000 0.000
P 0.333 0.667 0.500
P 0.667 0.333 0.500
! Polymorph energy (0 for the lowest one) ... 0.947 eV per atom
! Formation energy from the elements ... 0.62 eV per atom

=====

# 7
! BeP2 PBE-GGA relaxed; values from VASP
&SYSTEM
  ibrav = 0, nat = 6, ntyp = 2
/
ATOMIC_SPECIES
Be 9.01 Be.upf
P 30.97 P.upf
CELL_PARAMETERS angstrom
3.396 0.000 0.000
-1.698 2.941 0.000
0.000 0.000 11.206
ATOMIC_POSITIONS crystal
Be 0.000 0.000 0.250
Be 0.000 0.000 0.750
P 0.333 0.667 0.155
P 0.333 0.667 0.345
P 0.667 0.333 0.655
P 0.667 0.333 0.845
! Polymorph energy (0 for the lowest one) ... 0.374 eV per atom
! Formation energy from the elements ... 0.05 eV per atom

=====

# 8
! Be5P PBE-GGA relaxed; values from VASP
&SYSTEM
  ibrav = 0, nat = 6, ntyp = 2
/
ATOMIC_SPECIES
Be 9.01 Be.upf
P 30.97 P.upf
CELL_PARAMETERS angstrom
3.950 0.000 0.000
-1.975 3.421 0.000
0.000 0.000 4.164
ATOMIC_POSITIONS crystal
Be 0.000 0.670 0.000
Be 0.330 0.330 0.000
Be 0.333 0.667 0.500
Be 0.667 0.333 0.500
Be 0.670 0.000 0.000
P 0.000 0.000 0.500
! Polymorph energy (0 for the lowest one) ... 0.069 eV per atom
! Formation energy from the elements ... 0.32 eV per atom